# Mg3Mn2Sn3

A relaxed Mg3Mn2Sn3 crystal (PBE-GGA, the Alexandria database).

The structure belongs to space group P1 (No. 1); the cell edges are 4.361, 5.755 and 7.643 Å and the angles 103.80°, 106.51° and 90.06°. The asymmetric unit holds Mg at (0.000, 0.000, 0.000), Mg at (0.154, 0.703, 0.307), Mg at (0.808, 0.588, 0.615), Mn at (0.202, 0.221, 0.404), Mn at (0.748, 0.055, 0.496), Sn at (0.357, 0.038, 0.715), Sn at (0.459, 0.595, 0.918) and Sn at (0.610, 0.313, 0.219).

The value obtained for the volume is 22.263 Å³/atom. The formation energy is 95 meV/atom. For the total DFT energy (no corrections), the calculation gives -4.30 eV/atom.